NaCaNiF6: optimized geometry, GGA+U.

a b c (Å): 5.6296 5.6296 9.2358
angles (deg): 90.00 90.00 120.00
Sites, in units of the cell vectors:
Na: 0.0000 0.0000 0.0000
Na: 0.0000 0.0000 0.5000
Ca: 0.3333 0.6667 0.2500
Ca: 0.6667 0.3333 0.7500
Ni: 0.3333 0.6667 0.7500
Ni: 0.6667 0.3333 0.2500
F: 0.0470 0.3809 0.6356
F: 0.0470 0.6661 0.8644
F: 0.3339 0.3809 0.8644
F: 0.3339 0.9530 0.6356
F: 0.3809 0.0470 0.1356
F: 0.3809 0.3339 0.3644
F: 0.6191 0.6661 0.6356
F: 0.6191 0.9530 0.8644
F: 0.6661 0.0470 0.3644
F: 0.6661 0.6191 0.1356
F: 0.9530 0.3339 0.1356
F: 0.9530 0.6191 0.3644

## Properties
The symmetry is P-31c (163). The total energy is -4.592 eV/atom. The calculation puts the theoretical density at 3.09 g/cm3.